## Si3WF (PBE with a Hubbard U)

Data for a geometry-optimized Si3WF structure. Values from VASP.

Values from the calculation:
As for the energy above the lowest structure with this stoichiometry: 0.0000 eV/atom.

Quantum ESPRESSO input file:
```
&SYSTEM
  ibrav = 0, nat = 5, ntyp = 3
/
ATOMIC_SPECIES
Si 28.09 Si.upf
W 183.84 W.upf
F 19.00 F.upf
ATOMIC_POSITIONS angstrom
Si 0.0000 0.0000 2.3956
Si 0.0000 2.3956 0.0000
Si 2.3956 0.0000 0.0000
W 0.0000 0.0000 0.0000
F 2.3956 2.3956 2.3956
CELL_PARAMETERS angstrom
4.7912 0.0000 0.0000
0.0000 4.7912 0.0000
0.0000 0.0000 4.7912
```